6
Lattice="-3.748 2.161 -1.185 -2.356 -3.774 0.570 -0.912 1.388 5.413" Properties=species:S:1:pos:R:3 comment="SmZn2SiIr2 | the Alexandria database | PBE | relaxed" e_tot_ev_per_atom=-5.34 raw_formation_energy_ev_per_atom=-0.27 pbc="T T T"
Ir -1.178 -1.887 0.285
Ir -1.874 1.080 -0.593
Zn -3.713 0.200 3.617
Zn -3.303 -0.425 1.181
Sm -0.456 0.694 2.706
Si 0.000 0.000 0.000